TeHS2 | PBE | relaxed

abc: 4.4006 4.4006 16.8142
angles: 90.00 90.00 120.00
Space group R-3m (No. 166, hexagonal axes)
Asymmetric unit:
Te: 0.0000 0.0000 0.0000 x3
H: 0.0000 0.0000 0.5000 x3
S: 0.0000 0.0000 0.4022 x6

Output
- Crystal system: trigonal
- ΔE to the lowest computed polymorph: 201 meV per atom



GaCoH3 | PBE | relaxed

abc: 4.4219 4.3283 4.5626
angles: 90.00 118.97 90.00
Space group P2_1/m (No. 11)
Asymmetric unit:
Ga: 0.2450 0.2500 0.4884 x2
Co: 0.4110 0.7500 0.8218 x2
H: 0.2207 0.7500 0.4477 x2
H: 0.2694 0.9999 0.9999 x4

Output
- Crystal system: monoclinic
- ΔE to the lowest computed polymorph: 0 meV per atom



KSN2 | PBE | relaxed

abc: 5.5086 5.5086 7.8447
angles: 90.00 90.00 90.00
Space group I-42d (No. 122)
Asymmetric unit:
K: 0.0000 0.0000 0.0000 x4
S: 0.0000 0.0000 0.5000 x4
N: 0.0739 0.7500 0.6250 x8

Output
- Crystal system: tetragonal
- E_form (uncorrected): 69 kJ per mole of atoms



NaCeAgSb | PBE | relaxed

abc: 7.4827 7.4827 7.4827
angles: 90.00 90.00 90.00
Space group F-43m (No. 216)
Asymmetric unit:
Na: 0.0000 0.0000 0.0000 x4
Ce: 0.0000 0.0000 0.5000 x4
Ag: 0.2500 0.2500 0.2500 x4
Sb: 0.2500 0.2500 0.7500 x4

Output
- Crystal system: cubic
- E_form (uncorrected): -40 kJ per mole of atoms



Er8Zn2Co | PBE | relaxed

abc: 17.1016 5.1143 6.6412
angles: 90.00 107.54 90.00
Space group C2/m (No. 12)
Asymmetric unit:
Er: 0.0259 0.0000 0.2872 x4
Er: 0.0896 0.5000 0.9292 x4
Er: 0.1554 0.5000 0.4618 x4
Er: 0.2003 0.0000 0.8079 x4
Zn: 0.1860 0.0000 0.2207 x4
Co: 0.0000 0.5000 0.5000 x2

Output
- Crystal system: monoclinic
- Energy relative to the elements: -0.1436 eV per atom
- ΔE to the lowest computed polymorph: 0 meV per atom



ZnF3 | PBE | relaxed

abc: 5.4038 5.4038 9.4690
angles: 90.00 90.00 90.00
Space group I-42d (No. 122)
Asymmetric unit:
Zn: 0.0000 0.0000 0.0000 x4
F: 0.0000 0.0000 0.5000 x4
F: 0.1250 0.2500 0.1250 x8

Output
- Crystal system: tetragonal
- E_form (uncorrected): -135 kJ per mole of atoms



ZnCrSi2 | PBE | relaxed

abc: 3.6280 3.6280 7.9223
angles: 90.00 90.00 90.00
Space group I-4m2 (No. 119)
Asymmetric unit:
Zn: 0.0000 0.0000 0.0000 x2
Cr: 0.0000 0.5000 0.7500 x2
Si: 0.0000 0.0000 0.5000 x2
Si: 0.0000 0.5000 0.2500 x2

Output
- Crystal system: tetragonal
- E_form (uncorrected): 10 kJ per mole of atoms



Ca6Ga2Ag | PBE | relaxed

abc: 10.0736 10.0736 5.2722
angles: 90.00 90.00 90.00
Space group P4_2/mnm (No. 136)
Asymmetric unit:
Ca: 0.0336 0.3032 0.0000 x8
Ca: 0.1192 0.8808 0.5000 x4
Ga: 0.2128 0.2128 0.5000 x4
Ag: 0.0000 0.0000 0.0000 x2

Output
- Crystal system: tetragonal
- Energy relative to the elements: -0.2846 eV per atom
- ΔE to the lowest computed polymorph: 0 meV per atom